Record 1
CaLaBe | the Alexandria database | PBE | relaxed; energy = -3.17 eV/atom; crystal system = trigonal; symmetry = P3m1, No. 156
1.0
-2.571 1.723 2.215
1.774 -3.136 1.228
5.352 4.185 2.957
Ca Be La
1 1 1
Direct
0.667 0.333 0.263
0.000 0.000 0.998
0.333 0.667 0.739

Record 2
CaLa2Be | the Alexandria database | PBE | relaxed; energy = -3.56 eV/atom; crystal system = tetragonal; symmetry = P4/mmm, No. 123
1.0
-4.566 -2.622 -0.842
1.718 -3.989 3.094
-1.701 1.880 3.368
La Ca Be
2 1 1
Direct
0.500 0.500 0.000
0.000 0.000 0.000
0.000 0.500 0.500
0.500 0.000 0.500

Record 3
CaLa2Be | the Alexandria database | PBE | relaxed; energy = -3.44 eV/atom; crystal system = cubic; symmetry = F-43m, No. 216
1.0
5.449 0.000 0.000
2.725 4.719 0.000
2.725 1.573 4.449
La Ca Be
2 1 1
Direct
0.000 0.000 0.000
0.250 0.250 0.250
0.750 0.750 0.750
0.500 0.500 0.500

Record 4
CaLaBe | the Alexandria database | PBE | relaxed; energy = -2.63 eV/atom; crystal system = cubic; symmetry = F-43m, No. 216
1.0
4.995 0.000 0.000
2.498 4.326 0.000
2.498 1.442 4.079
La Ca Be
1 1 1
Direct
0.750 0.750 0.750
0.500 0.500 0.500
0.000 0.000 0.000

Record 5
CaLaBe3 | the Alexandria database | PBE | relaxed; energy = -2.42 eV/atom; crystal system = cubic; symmetry = Pm-3m, No. 221
1.0
4.914 0.000 0.000
0.000 4.914 0.000
0.000 0.000 4.914
Be Ca La
3 1 1
Direct
0.500 0.000 0.000
0.000 0.500 0.000
0.000 0.000 0.500
0.000 0.000 0.000
0.500 0.500 0.500

Record 6
CaLa2Be | the Alexandria database | PBE | relaxed; energy = -3.66 eV/atom; crystal system = monoclinic; symmetry = Cm, No. 8
1.0
6.758 0.016 -0.018
5.704 3.625 -0.018
2.248 0.657 4.971
La Be Ca
2 1 1
Direct
0.805 0.805 0.694
0.995 0.995 0.005
0.502 0.502 0.499
0.198 0.198 0.302

For reference, DFT formation energy by record: 0.39 0.33 0.46 0.92 1.20 0.23 eV/atom.